No. 1
Below is a relaxed structure of POs2O, with properties calculated at the PBE-GGA level.

Structure (CIF):
```
data_POs2O
_chemical_formula_sum 'P2 Os4 O2'
_cell_length_a 4.9630
_cell_length_b 4.9630
_cell_length_c 6.0400
_cell_angle_alpha 65.74
_cell_angle_beta 65.74
_cell_angle_gamma 90.00
_symmetry_space_group_name_H-M 'P 1'
_symmetry_Int_Tables_number 1
_symmetry_space_group_name_Hall 'P 1'
loop_
_atom_site_label
_atom_site_type_symbol
_atom_site_fract_x
_atom_site_fract_y
_atom_site_fract_z
_atom_site_occupancy
P1 P 0.0000 0.0000 0.0000 1
P2 P 0.7500 0.2500 0.5000 1
Os1 Os 0.5883 0.1250 0.2500 1
Os2 Os 0.1617 0.6250 0.2500 1
Os3 Os 0.3750 0.4117 0.7500 1
Os4 Os 0.8750 0.8383 0.7500 1
O1 O 0.5000 0.5000 0.0000 1
O2 O 0.2500 0.7500 0.5000 1
```

Calculated values
The calculation puts the calculated total energy at -63.431 eV/cell. The formation energy without anion corrections comes out at 1.112 eV/f.u.



No. 2
Below is a relaxed structure of P2OsO2, with properties calculated at the PBE-GGA level.

Structure (CIF):
```
data_P2OsO2
_chemical_formula_sum 'P2 Os1 O2'
_cell_length_a 4.6217
_cell_length_b 4.6217
_cell_length_c 3.6719
_cell_angle_alpha 90.00
_cell_angle_beta 90.00
_cell_angle_gamma 90.00
_symmetry_space_group_name_H-M 'P 1'
_symmetry_Int_Tables_number 1
_symmetry_space_group_name_Hall 'P 1'
loop_
_atom_site_label
_atom_site_type_symbol
_atom_site_fract_x
_atom_site_fract_y
_atom_site_fract_z
_atom_site_occupancy
P1 P 0.0000 0.5000 0.0000 1
P2 P 0.5000 0.0000 0.0000 1
Os1 Os 0.0000 0.0000 0.0000 1
O1 O 0.5000 0.5000 0.5000 1
O2 O 0.0000 0.0000 0.5000 1
```

Calculated values
The calculation puts the calculated total energy at -29.638 eV/cell. The formation energy without anion corrections comes out at 2.328 eV/f.u.



No. 3
Below is a relaxed structure of POsO3, with properties calculated at the PBE-GGA level.

Structure (CIF):
```
data_POsO3
_chemical_formula_sum 'P1 Os1 O3'
_cell_length_a 3.8719
_cell_length_b 3.8719
_cell_length_c 3.8719
_cell_angle_alpha 90.00
_cell_angle_beta 90.00
_cell_angle_gamma 90.00
_symmetry_space_group_name_H-M 'P 1'
_symmetry_Int_Tables_number 1
_symmetry_space_group_name_Hall 'P 1'
loop_
_atom_site_label
_atom_site_type_symbol
_atom_site_fract_x
_atom_site_fract_y
_atom_site_fract_z
_atom_site_occupancy
P1 P 0.5000 0.5000 0.5000 1
Os1 Os 0.0000 0.0000 0.0000 1
O1 O 0.0000 0.5000 0.0000 1
O2 O 0.0000 0.0000 0.5000 1
O3 O 0.5000 0.0000 0.0000 1
```

Calculated values
The calculation puts the calculated total energy at -31.349 eV/cell. The formation energy without anion corrections comes out at 0.165 eV/f.u.



No. 4
Below is a relaxed structure of P2OsO2, with properties calculated at the PBE-GGA level.

Structure (CIF):
```
data_P2OsO2
_chemical_formula_sum 'P2 Os1 O2'
_cell_length_a 3.3064
_cell_length_b 3.3064
_cell_length_c 7.8325
_cell_angle_alpha 90.00
_cell_angle_beta 90.00
_cell_angle_gamma 90.00
_symmetry_space_group_name_H-M 'P 1'
_symmetry_Int_Tables_number 1
_symmetry_space_group_name_Hall 'P 1'
loop_
_atom_site_label
_atom_site_type_symbol
_atom_site_fract_x
_atom_site_fract_y
_atom_site_fract_z
_atom_site_occupancy
P1 P 0.0000 0.0000 0.0000 1
P2 P 0.0000 0.0000 0.5000 1
Os1 Os 0.5000 0.5000 0.5000 1
O1 O 0.0000 0.5000 0.0000 1
O2 O 0.5000 0.0000 0.0000 1
```

Calculated values
The calculation puts the calculated total energy at -31.864 eV/cell. The formation energy without anion corrections comes out at 0.102 eV/f.u.